Entry from the Alexandria database: a relaxed Na4Al3FeSi8O24 crystal (PBE+U).

Unit cell a=8.7155 b=5.3118 c=9.4607 alpha=75.44 beta=90.00 gamma=90.00
Site moments in Bohr magnetons follow the coordinates.
Fractional coordinates of all 40 atoms:
Na  0.8005  0.5000  0.5000  0.00
Na  0.2977  0.0000  0.0000  0.00
Na  0.1986  0.0000  0.5000  0.00
Na  0.7015  0.5000  0.0000  0.00
Al  0.9038  0.0000  0.0000  0.00
Al  0.5980  0.0000  0.5000  0.00
Al  0.0958  0.5000  0.0000  0.00
Fe  0.4034  0.5000  0.5000  4.36
Si  0.0883  0.6885  0.2867  0.01
Si  0.5946  0.1857  0.7917  0.00
Si  0.0883  0.3115  0.7133  0.01
Si  0.5946  0.8143  0.2083  0.00
Si  0.9059  0.8122  0.7107  0.00
Si  0.4080  0.3097  0.2080  0.00
Si  0.9059  0.1878  0.2893  0.00
Si  0.4080  0.6903  0.7920  0.00
O  0.0726  0.7683  0.1070  0.00
O  0.5832  0.2591  0.6113  0.04
O  0.0726  0.2317  0.8930  0.00
O  0.5832  0.7409  0.3887  0.04
O  0.9244  0.7318  0.8906  0.00
O  0.4249  0.2176  0.3879  0.07
O  0.9244  0.2682  0.1094  0.00
O  0.4249  0.7824  0.6121  0.07
O  0.0061  0.4038  0.3514  0.00
O  0.5055  0.9063  0.8563  0.00
O  0.0061  0.5962  0.6486  0.00
O  0.5055  0.0937  0.1437  0.00
O  0.9910  0.0965  0.6487  0.00
O  0.4972  0.5909  0.1507  0.00
O  0.9910  0.9035  0.3513  0.00
O  0.4972  0.4091  0.8493  0.00
O  0.2582  0.6894  0.3542  0.08
O  0.7624  0.1791  0.8637  -0.01
O  0.2582  0.3106  0.6458  0.08
O  0.7624  0.8209  0.1363  -0.01
O  0.7388  0.8158  0.6380  -0.01
O  0.2393  0.3223  0.1367  0.00
O  0.7388  0.1842  0.3620  -0.01
O  0.2393  0.6777  0.8633  0.00

Computed properties:
Space-group type: No. 3
V (Å³/cell): 423.9
Electronic total energy (eV per formula unit): -290.46